(1)
VASP calculation (meta-GGA SCAN) on a PBEsol-optimized structure of YHfMnPt2.

a = 4.914 Å, b = 4.914 Å, c = 4.548 Å
α = 90.00°, β = 90.00°, γ = 90.00°
Fractional positions:
1 Y 0.000 0.000 0.000
2 Hf 0.500 0.500 0.500
3 Mn 0.500 0.500 0.000
4 Pt 0.000 0.500 0.500
5 Pt 0.500 0.000 0.500

Values from the calculation:
The total magnetization comes out at 0.6541 μB per atom. As for the energy of formation: -0.1127 eV/atom. As for the theoretical density: 10.78 g/cm3.

(2)
VASP calculation (meta-GGA SCAN) on a PBEsol-optimized structure of RbHfMn2.

a = 4.882 Å, b = 4.882 Å, c = 4.882 Å
α = 60.00°, β = 60.00°, γ = 60.00°
Fractional positions:
1 Rb 0.000 0.000 0.000
2 Hf 0.500 0.500 0.500
3 Mn 0.250 0.250 0.250
4 Mn 0.750 0.750 0.750

Values from the calculation:
The total magnetization comes out at 1.6148 μB per atom. As for the energy of formation: 1.0378 eV/atom. As for the theoretical density: 7.54 g/cm3.

(3)
VASP calculation (meta-GGA SCAN) on a PBEsol-optimized structure of HfMnRe2.

a = 4.385 Å, b = 4.385 Å, c = 4.385 Å
α = 60.00°, β = 60.00°, γ = 60.00°
Fractional positions:
1 Hf 0.000 0.000 0.000
2 Mn 0.500 0.500 0.500
3 Re 0.250 0.250 0.250
4 Re 0.750 0.750 0.750

Values from the calculation:
The total magnetization comes out at 0.4626 μB per atom. As for the energy of formation: -0.0850 eV/atom. As for the theoretical density: 16.87 g/cm3.